1.
A plane-wave DFT calculation with PBE was carried out for a relaxed structure of TaHSe2.

The structure in extended XYZ format:
```
16
Lattice="5.5099 0.0000 0.0000 0.0000 5.5099 0.0000 0.0000 0.0000 10.1221" Properties=species:S:1:pos:R:3 pbc="T T T"
Ta 0.0000 0.0000 0.0000
Ta 0.0000 2.7550 2.5305
Ta 2.7550 0.0000 7.5915
Ta 2.7550 2.7550 5.0610
H 0.0000 0.0000 5.0610
H 0.0000 2.7550 7.5915
H 2.7550 0.0000 2.5305
H 2.7550 2.7550 0.0000
Se 1.1217 1.3775 6.3263
Se 1.3775 3.8766 8.8568
Se 1.3775 4.3882 3.7958
Se 1.6333 1.3775 1.2653
Se 3.8766 4.1324 1.2653
Se 4.1324 1.1217 3.7958
Se 4.1324 1.6333 8.8568
Se 4.3882 4.1324 6.3263
```

Calculated values
polymorph energy (0 for the lowest one) = 930 meV per atom
DOS at the Fermi energy = 3.892 states/eV/f.u.

2.
A plane-wave DFT calculation with PBE was carried out for a relaxed structure of TmInPd2.

The structure in extended XYZ format:
```
4
Lattice="3.4469 0.0000 0.0000 0.0000 3.4469 0.0000 0.0000 0.0000 6.5234" Properties=species:S:1:pos:R:3 pbc="T T T"
Tm 0.0000 0.0000 0.0000
In 0.0000 0.0000 3.2617
Pd 1.7235 1.7235 1.6815
Pd 1.7235 1.7235 4.8419
```

Calculated values
energy relative to the elements = -0.76 eV/atom
DOS at the Fermi energy = 1.190 states/eV/f.u.

3.
A plane-wave DFT calculation with PBE was carried out for a relaxed structure of CoCuAu2.

The structure in extended XYZ format:
```
16
Lattice="3.8439 0.0000 0.0000 0.0000 3.8439 0.0000 0.0000 0.0000 18.0946" Properties=species:S:1:pos:R:3 pbc="T T T"
Co 0.0000 0.0000 0.0000
Co 0.0000 1.9220 4.5237
Co 1.9220 0.0000 13.5710
Co 1.9220 1.9220 9.0473
Cu 0.0000 0.0000 9.0473
Cu 0.0000 1.9220 13.5710
Cu 1.9220 0.0000 4.5237
Cu 1.9220 1.9220 0.0000
Au 0.9596 0.9610 2.2618
Au 0.9624 0.9610 11.3091
Au 0.9610 2.8815 6.7855
Au 0.9610 2.8843 15.8328
Au 2.8829 0.9624 6.7855
Au 2.8829 0.9596 15.8328
Au 2.8843 2.8829 2.2618
Au 2.8815 2.8829 11.3091
```

Calculated values
energy relative to the elements = 0.47 eV/atom
DOS at the Fermi energy = 6.422 states/eV/f.u.

4.
A plane-wave DFT calculation with PBE was carried out for a relaxed structure of RbNd2W2N6.

The structure in extended XYZ format:
```
11
Lattice="6.5819 0.0000 0.0000 -2.9700 6.0155 0.0000 -3.1507 -1.9304 5.8983" Properties=species:S:1:pos:R:3 pbc="T T T"
Rb 0.0000 0.0000 0.0000
Nd -0.5012 3.5028 1.7117
Nd 0.9624 0.5823 4.1866
W -2.6267 2.7102 4.0529
W 3.0879 1.3749 1.8454
N -3.8908 2.2282 5.3380
N -2.5565 4.3988 3.3206
N -0.8938 2.0805 4.0681
N 1.3550 2.0047 1.8301
N 3.0176 -0.3137 2.5776
N 4.3520 1.8569 0.5603
```

Calculated values
DOS at the Fermi energy = 4.395 states/eV/f.u.
E_form (uncorrected) = -562 meV/atom

5.
A plane-wave DFT calculation with PBE was carried out for a relaxed structure of Ce3ScTl3Se8.

The structure in extended XYZ format:
```
15
Lattice="7.3172 -4.2255 0.0000 7.3172 4.2255 0.0000 -4.8773 0.0000 7.8118" Properties=species:S:1:pos:R:3 pbc="T T T"
Ce 0.0000 0.0000 0.0000
Ce 3.6586 2.1128 0.0000
Ce 3.6586 -2.1128 0.0000
Sc 7.3172 0.0000 0.0000
Tl 1.2199 2.1128 3.9059
Tl 1.2199 -2.1128 3.9059
Tl 4.8786 0.0000 3.9059
Se 2.4574 0.0000 1.6454
Se 6.1556 1.9934 1.5394
Se 0.1176 0.0000 6.2748
Se 3.6015 1.9934 6.2724
Se 6.1556 -1.9934 1.5394
Se 9.6396 0.0000 1.5371
Se 3.6015 -1.9934 6.2724
Se 7.2997 0.0000 6.1665
```

Calculated values
DOS at the Fermi energy = 10.287 states/eV/f.u.
E_form (uncorrected) = -1471 meV/atom

6.
A plane-wave DFT calculation with PBE was carried out for a relaxed structure of Rb2MgPaSe4.

The structure in extended XYZ format:
```
8
Lattice="7.2332 0.0000 0.0000 0.0000 4.2304 0.0000 -2.4974 0.0000 7.9892" Properties=species:S:1:pos:R:3 pbc="T T T"
Rb 0.0000 0.0000 0.0000
Rb 3.6166 2.1152 0.0000
Mg -1.2487 2.1152 3.9946
Pa 2.3679 0.0000 3.9946
Se -0.0760 0.0000 5.4777
Se 1.1834 2.1152 2.4136
Se 3.5525 2.1152 5.5756
Se 4.8119 0.0000 2.5115
```

Calculated values
DOS at the Fermi energy = 5.779 states/eV/f.u.
E_form (uncorrected) = -1310 meV/atom

7.
A plane-wave DFT calculation with PBE was carried out for a relaxed structure of Ta2HgRu.

The structure in extended XYZ format:
```
16
Lattice="6.5460 0.0000 0.0000 0.0000 6.5460 0.0000 0.0000 0.0000 6.5460" Properties=species:S:1:pos:R:3 pbc="T T T"
Ta 0.0000 0.0000 0.0000
Ta 0.0000 3.2730 3.2730
Ta 1.6365 1.6365 1.6365
Ta 1.6365 4.9095 4.9095
Ta 3.2730 0.0000 3.2730
Ta 3.2730 3.2730 0.0000
Ta 4.9095 1.6365 4.9095
Ta 4.9095 4.9095 1.6365
Hg 0.0000 0.0000 3.2730
Hg 0.0000 3.2730 0.0000
Hg 3.2730 0.0000 0.0000
Hg 3.2730 3.2730 3.2730
Ru 1.6365 1.6365 4.9095
Ru 1.6365 4.9095 1.6365
Ru 4.9095 1.6365 1.6365
Ru 4.9095 4.9095 4.9095
```

Calculated values
energy relative to the elements = 0.33 eV/atom
DOS at the Fermi energy = 5.088 states/eV/f.u.

8.
A plane-wave DFT calculation with PBE was carried out for a relaxed structure of HgBO.

The structure in extended XYZ format:
```
12
Lattice="6.3438 0.0000 0.0000 0.0000 6.9058 0.0000 -0.7298 0.0000 4.8023" Properties=species:S:1:pos:R:3 pbc="T T T"
Hg 0.4024 0.7565 1.2871
Hg 0.0375 2.6964 3.6883
Hg 5.5765 4.2095 1.1141
Hg 5.2116 6.1493 3.5152
B 1.0493 4.8877 3.8441
B 1.4142 5.4711 1.4430
B 4.1998 1.4348 3.3594
B 4.5647 2.0182 0.9582
O 2.2068 5.1755 0.3364
O 1.8419 5.1832 2.7376
O 3.7721 1.7226 2.0648
O 3.4072 1.7303 4.4659
```

Calculated values
DOS at the Fermi energy = 0.287 states/eV/f.u.
E_form (uncorrected) = -811 meV/atom